First-principles (PBE) data for a geometry-optimized Rb3TbU3S8 structure, as listed in Alexandria via LeMat-Bulk.

space-group type = R-3m (166)
formation energy from raw total energies = -1.515 eV/atom

Lattice parameters (Å, degrees): 8.0911 8.0910 9.1210 116.34 90.00 120.00
Closest atoms and distances in Å follow each position.
Fractional coordinates of all 15 atoms:
U 0.0000 0.5000 0.5000  6 S 2.76-2.78
U 0.5000 0.0000 0.5000  6 S 2.76-2.78
U 0.5000 0.5000 0.5000  6 S 2.76-2.78
Rb 0.0000 0.5000 0.0000  6 S 3.36-3.38
Rb 0.0000 0.0000 0.0000  6 S 3.36-3.38
Rb 0.5000 0.5000 0.0000  6 S 3.36-3.38
S 0.7696 0.0421 0.3117  2 U 2.76, 1 Tb 2.77
S 0.2305 0.4609 0.6883  2 U 2.76, 1 Tb 2.77
S 0.2304 0.9579 0.6883  2 U 2.76, 1 Tb 2.77
S 0.2694 0.5389 0.3084  3 U 2.78
S 0.7274 0.9579 0.6882  2 U 2.76, 1 Tb 2.77
S 0.2726 0.0421 0.3118  2 U 2.76, 1 Tb 2.77
S 0.7695 0.5391 0.3117  2 U 2.76, 1 Tb 2.77
S 0.7306 0.4611 0.6916  3 U 2.78
Tb 0.0000 0.0000 0.5000  6 S 2.77